The following is a GGA-PBE calculation of a geometry-optimized BaSc2Os structure, from Alexandria.

Computed properties:
- Fermi-level density of states: 0.84 states/eV/atom
- Excess energy over the best structure of this formula in the dataset: 347 meV/atom
- ΔE_f: 23.06 kJ/mol of atoms
- Raw total energy: -6.215 eV per atom

abc: 10.3639 10.3639 10.3639
angles: 21.43 21.43 21.43
With the nearest neighbours (Å) after each atom.
Fractional coordinates of all 4 atoms:
Ba1 0.0000 0.0000 0.0000  2 Sc 3.72, 6 Ba 3.85
Sc1 0.1224 0.1224 0.1224  3 Os 2.60
Sc2 0.8776 0.8776 0.8776  3 Os 2.60
Os1 0.5000 0.5000 0.5000  6 Sc 2.60

***

The following is a GGA-PBE calculation of a geometry-optimized BaSc2Os structure, from Alexandria.

Computed properties:
- Fermi-level density of states: 1.42 states/eV/atom
- Excess energy over the best structure of this formula in the dataset: 682 meV/atom
- ΔE_f: 55.37 kJ/mol of atoms
- Raw total energy: -5.880 eV per atom

abc: 5.0778 5.0778 5.0778
angles: 119.76 119.76 90.41
With the nearest neighbours (Å) after each atom.
Fractional coordinates of all 4 atoms:
Sc1 0.2500 0.7500 0.5000  4 Sc 3.11, 4 Ba 3.11
Os1 0.7500 0.2500 0.5000  4 Ba 3.11, 4 Sc 3.11
Sc2 0.0000 0.0000 0.0000  4 Os 3.11, 4 Sc 3.11
Ba1 0.5000 0.5000 0.0000  4 Os 3.11, 4 Sc 3.11

***

The following is a GGA-PBE calculation of a geometry-optimized BaSc2Os structure, from Alexandria.

Computed properties:
- Fermi-level density of states: 0.94 states/eV/atom
- Excess energy over the best structure of this formula in the dataset: 487 meV/atom
- ΔE_f: 36.56 kJ/mol of atoms
- Raw total energy: -6.075 eV per atom

abc: 5.0323 5.0323 5.0323
angles: 60.00 60.00 60.00
With the nearest neighbours (Å) after each atom.
Fractional coordinates of all 4 atoms:
Os1 0.5000 0.5000 0.5000  8 Sc 3.08
Sc1 0.7500 0.7500 0.7500  4 Os 3.08, 4 Ba 3.08
Ba1 0.0000 0.0000 0.0000  8 Sc 3.08
Sc2 0.2500 0.2500 0.2500  4 Ba 3.08, 4 Os 3.08

***

Repeat the first record exactly.
The following is a GGA-PBE calculation of a geometry-optimized BaSc2Os structure, from Alexandria.

Computed properties:
- Fermi-level density of states: 0.84 states/eV/atom
- Excess energy over the best structure of this formula in the dataset: 347 meV/atom
- ΔE_f: 23.06 kJ/mol of atoms
- Raw total energy: -6.215 eV per atom

abc: 10.3639 10.3639 10.3639
angles: 21.43 21.43 21.43
With the nearest neighbours (Å) after each atom.
Fractional coordinates of all 4 atoms:
Ba1 0.0000 0.0000 0.0000  2 Sc 3.72, 6 Ba 3.85
Sc1 0.1224 0.1224 0.1224  3 Os 2.60
Sc2 0.8776 0.8776 0.8776  3 Os 2.60
Os1 0.5000 0.5000 0.5000  6 Sc 2.60

***

Question: Look up the raw total energy of the first one.
Answer: -6.215 eV per atom

***

Question: The highest ΔE_f belongs to which entry?
Answer: number 2

***

Question: Among the records above, which one has the highest Fermi-level density of states?
Answer: number 2